First-principles (PBE) data for an optimized crystal structure of TlIrPtO4, as listed in the Alexandria database.

Cell: 5.6839 7.1877 6.2740 Å, 115.88 90.00 113.29°
Sites, in units of the cell vectors:
O 0.6745 0.3490 0.6255
O 0.3255 0.6510 0.3745
O 0.3018 0.0308 0.7654
O 0.7290 0.0308 0.7654
O 0.2710 0.9692 0.2346
O 0.6982 0.9692 0.2346
O 0.3255 0.6510 0.7766
O 0.6745 0.3490 0.2234
Tl 0.1662 0.3323 0.9162
Tl 0.8338 0.6677 0.0838
Ir 0.5000 0.0000 0.0000
Ir 0.5000 0.0000 0.5000
Pt 0.5000 0.5000 0.5000
Pt 0.0000 0.5000 0.5000

Output
Total magnetic moment = 0.0 μB/cell
Energy = -5.81 eV per atom
DOS(E_F) = 4.15 states/eV/f.u.
E_form (uncorrected) = -3.6 eV per formula unit
Space-group type = Imma (74)

***

First-principles (PBE) data for an optimized crystal structure of RbGa2Sb, as listed in the Alexandria database.

Cell: 4.3856 4.3856 10.0752 Å, 77.43 77.43 60.00°
Sites, in units of the cell vectors:
Sb 0.5000 0.5000 0.5000
Ga 0.1196 0.1196 0.6412
Ga 0.8804 0.8804 0.3588
Rb 0.0000 0.0000 0.0000

Output
Total magnetic moment = 0.0 μB/cell
Energy = -2.71 eV per atom
DOS(E_F) = 0.43 states/eV/f.u.
E_form (uncorrected) = 0.3 eV per formula unit
Space-group type = R-3m (166)

***

First-principles (PBE) data for an optimized crystal structure of La3Y3HoS8, as listed in the Alexandria database.

Cell: 7.9638 7.9641 8.1190 Å, 119.37 90.00 120.00°
Sites, in units of the cell vectors:
Y 0.5000 0.0000 0.5000
Y 0.0000 0.5000 0.5000
Y 0.5000 0.5000 0.5000
Ho 0.0000 0.0000 0.5000
La 0.5000 0.5000 0.0000
La 0.0000 0.5000 0.0000
La 0.0000 0.0000 0.0000
S 0.7438 0.4876 0.7314
S 0.2562 0.5124 0.2686
S 0.2432 0.4864 0.7311
S 0.2432 0.9878 0.7310
S 0.7568 0.5136 0.2689
S 0.7446 0.9879 0.7311
S 0.7568 0.0122 0.2690
S 0.2554 0.0121 0.2689

Output
Total magnetic moment = 0.0 μB/cell
Energy = -6.89 eV per atom
DOS(E_F) = 7.64 states/eV/f.u.
E_form (uncorrected) = -31.6 eV per formula unit
Space-group type = R-3m (166)

***

First-principles (PBE) data for an optimized crystal structure of CrS, as listed in the Alexandria database.

Cell: 3.0297 5.2333 10.6585 Å, 90.00 90.00 90.00°
Sites, in units of the cell vectors:
Cr 0.0000 0.0017 0.8697
Cr 0.0000 0.0017 0.1303
Cr 0.5000 0.9983 0.6303
Cr 0.0000 0.6858 0.5000
Cr 0.5000 0.9983 0.3697
Cr 0.5000 0.3142 0.0000
S 0.0000 0.7243 0.7067
S 0.0000 0.6545 0.0000
S 0.0000 0.7243 0.2933
S 0.5000 0.2757 0.2067
S 0.5000 0.3455 0.5000
S 0.5000 0.2757 0.7933

Output
Total magnetic moment = 0.0 μB/cell
Energy = -7.29 eV per atom
DOS(E_F) = 1.32 states/eV/f.u.
E_form (uncorrected) = -0.8 eV per formula unit
Space-group type = Pmmn (59)